Entry 1:
VASP calculation (meta-GGA SCAN) on a PBEsol-optimized structure of Sr2AlTl.

Cell: 4.829 4.269 12.602 Å, 90.00 90.00 90.00°
Space group Amm2 (No. 38)
One atom of each set of equivalent atoms:
Sr1 0.000 0.000 0.000 x2
Sr2 0.500 0.000 0.296 x2
Al1 0.000 0.000 0.716 x2
Tl1 0.500 0.000 0.580 x2

Calculated values
Fermi-level density of states: 0.4838 states/eV per atom
magnetic moment: 0.00 μB per atom
E_form: -0.38 eV per atom
volume: 129.9 Å³/f.u.
total energy: -31.55 eV per atom

---

Entry 2:
VASP calculation (meta-GGA SCAN) on a PBEsol-optimized structure of SrAlW2.

Cell: 5.785 9.943 2.723 Å, 90.00 109.45 90.00°
Space group C2/m (No. 12)
One atom of each set of equivalent atoms:
Sr1 0.000 0.000 0.000 x2
Al1 0.000 0.500 0.000 x2
W1 0.250 0.250 0.500 x4

Calculated values
Fermi-level density of states: 0.7100 states/eV per atom
magnetic moment: 0.00 μB per atom
E_form: 1.06 eV per atom
volume: 73.9 Å³/f.u.
total energy: -41.29 eV per atom

---

Entry 3:
VASP calculation (meta-GGA SCAN) on a PBEsol-optimized structure of SrAlW2.

Cell: 2.706 5.206 10.807 Å, 90.00 90.00 90.00°
Space group Immm (No. 71)
One atom of each set of equivalent atoms:
Sr1 0.000 0.000 0.000 x2
Al1 0.000 0.000 0.500 x2
W1 0.000 0.500 0.214 x4

Calculated values
Fermi-level density of states: 1.0350 states/eV per atom
magnetic moment: 0.00 μB per atom
E_form: 0.89 eV per atom
volume: 76.1 Å³/f.u.
total energy: -41.46 eV per atom

---

Entry 4:
VASP calculation (meta-GGA SCAN) on a PBEsol-optimized structure of SrAlW2.

Cell: 4.020 4.020 9.439 Å, 90.00 90.00 90.00°
Space group I4/mmm (No. 139)
One atom of each set of equivalent atoms:
Sr1 0.000 0.000 0.000 x2
Al1 0.000 0.000 0.500 x2
W1 0.000 0.500 0.250 x4

Calculated values
Fermi-level density of states: 0.6995 states/eV per atom
magnetic moment: 0.00 μB per atom
E_form: 1.22 eV per atom
volume: 76.3 Å³/f.u.
total energy: -41.13 eV per atom

---

Entry 5:
VASP calculation (meta-GGA SCAN) on a PBEsol-optimized structure of SrAlW2.

Cell: 2.805 5.112 5.212 Å, 90.00 90.00 90.00°
Space group Pmmm (No. 47)
One atom of each set of equivalent atoms:
Sr1 0.000 0.000 0.000 x1
Al1 0.500 0.000 0.500 x1
W1 0.000 0.500 0.500 x1
W2 0.500 0.500 0.000 x1

Calculated values
Fermi-level density of states: 0.6523 states/eV per atom
magnetic moment: 0.00 μB per atom
E_form: 1.14 eV per atom
volume: 74.7 Å³/f.u.
total energy: -41.21 eV per atom

---

Entry 6:
VASP calculation (meta-GGA SCAN) on a PBEsol-optimized structure of SrAlW2.

Cell: 3.655 4.145 9.634 Å, 90.00 90.00 90.00°
Space group Cmmm (No. 65)
One atom of each set of equivalent atoms:
Sr1 0.000 0.000 0.000 x2
Al1 0.000 0.000 0.500 x2
W1 0.000 0.500 0.291 x4

Calculated values
Fermi-level density of states: 0.6700 states/eV per atom
magnetic moment: 0.00 μB per atom
E_form: 0.73 eV per atom
volume: 73.0 Å³/f.u.
total energy: -41.63 eV per atom

---

Copy entry 1 word for word.
VASP calculation (meta-GGA SCAN) on a PBEsol-optimized structure of Sr2AlTl.

Cell: 4.829 4.269 12.602 Å, 90.00 90.00 90.00°
Space group Amm2 (No. 38)
One atom of each set of equivalent atoms:
Sr1 0.000 0.000 0.000 x2
Sr2 0.500 0.000 0.296 x2
Al1 0.000 0.000 0.716 x2
Tl1 0.500 0.000 0.580 x2

Calculated values
Fermi-level density of states: 0.4838 states/eV per atom
magnetic moment: 0.00 μB per atom
E_form: -0.38 eV per atom
volume: 129.9 Å³/f.u.
total energy: -31.55 eV per atom